# Re2Si2Sb PBE optimized geometry
# Total magnetic moment, μB per atom: 0.0000
# Fermi-level density of states, states/eV/f.u.: 4.5
# E, eV per formula unit: -39.7
# Calculated volume, Å³ per atom: 16.09
# Formation energy from raw total energies, eV per atom: 0.04
data_Re2Si2Sb
_chemical_formula_sum 'Re4 Si4 Sb2'
_space_group_name_H-M_alt 'I 4/m m m'
_space_group_IT_number 139
_space_group_name_Hall '-I 4 2'
_cell_length_a 3.513
_cell_length_b 3.513
_cell_length_c 13.035
_cell_angle_alpha 90.00
_cell_angle_beta 90.00
_cell_angle_gamma 90.00
loop_
_atom_site_label
_atom_site_type_symbol
_atom_site_fract_x
_atom_site_fract_y
_atom_site_fract_z
Re1 Re 0.000 0.000 0.116
Si1 Si 0.000 0.500 0.250
Sb1 Sb 0.000 0.000 0.500

=====

# Re2SiSb PBE optimized geometry
# Total magnetic moment, μB per atom: 0.0000
# Fermi-level density of states, states/eV/f.u.: 3.4
# E, eV per formula unit: -31.5
# Calculated volume, Å³ per atom: 16.55
# Formation energy from raw total energies, eV per atom: 0.72
data_Re2SiSb
_chemical_formula_sum 'Re2 Si1 Sb1'
_space_group_name_H-M_alt 'P m m m'
_space_group_IT_number 47
_cell_length_a 3.121
_cell_length_b 4.171
_cell_length_c 5.087
_cell_angle_alpha 90.00
_cell_angle_beta 90.00
_cell_angle_gamma 90.00
loop_
_space_group_symop_operation_xyz
'x,y,z'
'-x,-y,-z'
'-x,-y,z'
'x,y,-z'
'x,-y,-z'
'-x,y,z'
'-x,y,-z'
'x,-y,z'
loop_
_atom_site_label
_atom_site_type_symbol
_atom_site_fract_x
_atom_site_fract_y
_atom_site_fract_z
Re1 Re 0.000 0.000 0.000
Re2 Re 0.500 0.000 0.500
Si1 Si 0.000 0.500 0.500
Sb1 Sb 0.500 0.500 0.000

=====

# Re2SiSb PBE optimized geometry
# Total magnetic moment, μB per atom: 0.0000
# Fermi-level density of states, states/eV/f.u.: 2.0
# E, eV per formula unit: -33.6
# Calculated volume, Å³ per atom: 17.46
# Formation energy from raw total energies, eV per atom: 0.22
data_Re2SiSb
_chemical_formula_sum 'Re2 Si1 Sb1'
_space_group_name_H-M_alt 'P 4 m m'
_space_group_IT_number 99
_cell_length_a 2.967
_cell_length_b 2.967
_cell_length_c 7.936
_cell_angle_alpha 90.00
_cell_angle_beta 90.00
_cell_angle_gamma 90.00
loop_
_space_group_symop_operation_xyz
'x,y,z'
'-y,x,z'
'-x,-y,z'
'y,-x,z'
'-x,y,z'
'y,x,z'
'x,-y,z'
'-y,-x,z'
loop_
_atom_site_label
_atom_site_type_symbol
_atom_site_fract_x
_atom_site_fract_y
_atom_site_fract_z
Re1 Re 0.000 0.000 0.000
Re2 Re 0.500 0.500 0.208
Si1 Si 0.500 0.500 0.803
Sb1 Sb 0.000 0.000 0.466

=====

# Re2SiSb PBE optimized geometry
# Total magnetic moment, μB per atom: 0.0001
# Fermi-level density of states, states/eV/f.u.: 2.7
# E, eV per formula unit: -31.5
# Calculated volume, Å³ per atom: 16.44
# Formation energy from raw total energies, eV per atom: 0.73
data_Re2SiSb
_chemical_formula_sum 'Re8 Si4 Sb4'
_space_group_name_H-M_alt 'F -4 3 m'
_space_group_IT_number 216
_space_group_name_Hall 'F -4 2 3'
_cell_length_a 6.408
_cell_length_b 6.408
_cell_length_c 6.408
_cell_angle_alpha 90.00
_cell_angle_beta 90.00
_cell_angle_gamma 90.00
loop_
_atom_site_label
_atom_site_type_symbol
_atom_site_fract_x
_atom_site_fract_y
_atom_site_fract_z
Re1 Re 0.000 0.000 0.000
Re2 Re 0.250 0.250 0.250
Si1 Si 0.000 0.000 0.500
Sb1 Sb 0.250 0.250 0.750

=====

# ReSi3Sb PBE optimized geometry
# Total magnetic moment, μB per atom: 0.1973
# Fermi-level density of states, states/eV/f.u.: 5.4
# E, eV per formula unit: -29.9
# Calculated volume, Å³ per atom: 21.44
# Formation energy from raw total energies, eV per atom: 0.60
data_ReSi3Sb
_chemical_formula_sum 'Re1 Si3 Sb1'
_space_group_name_H-M_alt 'P m -3 m'
_space_group_IT_number 221
_space_group_name_Hall '-P 4 2 3'
_cell_length_a 4.750
_cell_length_b 4.750
_cell_length_c 4.750
_cell_angle_alpha 90.00
_cell_angle_beta 90.00
_cell_angle_gamma 90.00
loop_
_atom_site_label
_atom_site_type_symbol
_atom_site_fract_x
_atom_site_fract_y
_atom_site_fract_z
Re1 Re 0.000 0.000 0.000
Si1 Si 0.000 0.000 0.500
Sb1 Sb 0.500 0.500 0.500

=====

# SrReSiSb2 PBE optimized geometry
# Total magnetic moment, μB per atom: 0.6885
# Fermi-level density of states, states/eV/f.u.: 5.3
# E, eV per formula unit: -16.6
# Calculated volume, Å³ per atom: 37.81
# Formation energy from raw total energies, eV per atom: 2.25
data_SrReSiSb2
_chemical_formula_sum 'Sr1 Re1 Si1 Sb2'
_space_group_name_H-M_alt 'P 4/m m m'
_space_group_IT_number 123
_space_group_name_Hall '-P 4 2'
_cell_length_a 5.854
_cell_length_b 5.854
_cell_length_c 5.517
_cell_angle_alpha 90.00
_cell_angle_beta 90.00
_cell_angle_gamma 90.00
loop_
_atom_site_label
_atom_site_type_symbol
_atom_site_fract_x
_atom_site_fract_y
_atom_site_fract_z
Sr1 Sr 0.000 0.000 0.000
Re1 Re 0.000 0.000 0.500
Si1 Si 0.500 0.500 0.500
Sb1 Sb 0.000 0.500 0.000

=====

# ReSiSb2Te PBE optimized geometry
# Total magnetic moment, μB per atom: 0.6707
# Fermi-level density of states, states/eV/f.u.: 3.5
# E, eV per formula unit: -19.1
# Calculated volume, Å³ per atom: 32.09
# Formation energy from raw total energies, eV per atom: 2.02
data_ReSiSb2Te
_chemical_formula_sum 'Re1 Si1 Sb2 Te1'
_space_group_name_H-M_alt 'P 4/m m m'
_space_group_IT_number 123
_space_group_name_Hall '-P 4 2'
_cell_length_a 5.650
_cell_length_b 5.650
_cell_length_c 5.026
_cell_angle_alpha 90.00
_cell_angle_beta 90.00
_cell_angle_gamma 90.00
loop_
_atom_site_label
_atom_site_type_symbol
_atom_site_fract_x
_atom_site_fract_y
_atom_site_fract_z
Re1 Re 0.000 0.000 0.000
Si1 Si 0.500 0.500 0.000
Sb1 Sb 0.000 0.500 0.500
Te1 Te 0.500 0.500 0.500

=====

# ReSiSb2Te PBE optimized geometry
# Total magnetic moment, μB per atom: 0.0001
# Fermi-level density of states, states/eV/f.u.: 7.3
# E, eV per formula unit: -24.2
# Calculated volume, Å³ per atom: 28.37
# Formation energy from raw total energies, eV per atom: 1.00
data_ReSiSb2Te
_chemical_formula_sum 'Re1 Si1 Sb2 Te1'
_space_group_name_H-M_alt 'P 4/m m m'
_space_group_IT_number 123
_space_group_name_Hall '-P 4 2'
_cell_length_a 5.074
_cell_length_b 5.074
_cell_length_c 5.510
_cell_angle_alpha 90.00
_cell_angle_beta 90.00
_cell_angle_gamma 90.00
loop_
_atom_site_label
_atom_site_type_symbol
_atom_site_fract_x
_atom_site_fract_y
_atom_site_fract_z
Re1 Re 0.000 0.000 0.000
Si1 Si 0.500 0.500 0.500
Sb1 Sb 0.000 0.500 0.000
Te1 Te 0.000 0.000 0.500